[1]
A geometry-optimized LiMg2TaHg structure. Source: Alexandria via LeMat-Bulk, functional GGA-PBEsol.

Properties
energy of formation from the pure elements = 94.4 kJ/mol of atoms
space group = P4/mmm (123)
uncorrected energy = -13.6 eV/f.u.
D(E_F) = 0.781 states/eV/atom

Lattice parameters (Å, degrees): 4.545 5.001 5.001 90.00 90.00 90.00
Element x y z (fractional)
1 Hg 0.000 0.000 0.000
2 Mg 0.000 0.000 0.500
3 Mg 0.000 0.500 0.000
4 Ta 0.500 0.500 0.500
5 Li 0.500 0.000 0.000


[2]
A geometry-optimized Hg3SeO structure. Source: Alexandria via LeMat-Bulk, functional GGA-PBEsol.

Properties
raw formation energy = 0.70 eV/atom
space group = Pm-3m (221)
uncorrected energy = -7.3 eV/f.u.
D(E_F) = 1.639 states/eV/atom

Lattice parameters (Å, degrees): 5.301 5.301 5.301 90.00 90.00 90.00
Element x y z (fractional)
1 Hg 0.000 0.000 0.500
2 Hg 0.000 0.500 0.000
3 Hg 0.500 0.000 0.000
4 Se 0.000 0.000 0.000
5 O 0.500 0.500 0.500


[3]
A geometry-optimized Tl2CdAu2 structure. Source: Alexandria via LeMat-Bulk, functional GGA-PBEsol.

Properties
excess energy over the best structure of this formula in the dataset = 0.0000 eV per atom
energy of formation from the pure elements = 0.3 kJ/mol of atoms
space group = P4/mbm (127)
uncorrected energy = -14.3 eV/f.u.
D(E_F) = 0.386 states/eV/atom

Lattice parameters (Å, degrees): 4.221 7.326 7.326 90.00 90.00 90.00
Element x y z (fractional)
1 Tl 0.500 0.167 0.667
2 Tl 0.500 0.333 0.167
3 Tl 0.500 0.667 0.833
4 Tl 0.500 0.833 0.333
5 Au 0.000 0.362 0.862
6 Au 0.000 0.862 0.638
7 Au 0.000 0.638 0.138
8 Au 0.000 0.138 0.362
9 Cd 0.000 0.500 0.500
10 Cd 0.000 0.000 0.000


[4]
A geometry-optimized ScPPb structure. Source: Alexandria via LeMat-Bulk, functional GGA-PBEsol.

Properties
excess energy over the best structure of this formula in the dataset = 0.0000 eV per atom
energy of formation from the pure elements = -64.3 kJ/mol of atoms
space group = I4mm (107)
uncorrected energy = -18.4 eV/f.u.
D(E_F) = 0.348 states/eV/atom

Lattice parameters (Å, degrees): 3.548 3.548 5.993 107.22 107.22 90.00
Element x y z (fractional)
1 Pb 0.321 0.321 0.643
2 P 0.067 0.067 0.134
3 Sc 0.612 0.612 0.223


[5]
A geometry-optimized SiMoAs structure. Source: Alexandria via LeMat-Bulk, functional GGA-PBEsol.

Properties
excess energy over the best structure of this formula in the dataset = 0.0000 eV per atom
raw formation energy = -0.10 eV/atom
space group = P3m1 (156)
uncorrected energy = -22.9 eV/f.u.
D(E_F) = 0.636 states/eV/atom

Lattice parameters (Å, degrees): 3.067 3.067 5.683 90.00 90.00 120.00
Element x y z (fractional)
1 Si 0.667 0.333 0.346
2 Mo 0.333 0.667 0.666
3 As 0.000 0.000 0.988


[6]
A geometry-optimized SbMoAs structure. Source: Alexandria via LeMat-Bulk, functional GGA-PBEsol.

Properties
excess energy over the best structure of this formula in the dataset = 0.3508 eV per atom
raw formation energy = 0.38 eV/atom
space group = F-43m (216)
uncorrected energy = -20.3 eV/f.u.
D(E_F) = 0.828 states/eV/atom

Lattice parameters (Å, degrees): 4.480 4.480 4.480 60.00 60.00 60.00
Element x y z (fractional)
1 Sb 0.000 0.000 0.000
2 As 0.500 0.500 0.500
3 Mo 0.250 0.250 0.250


Computed magnetization, in the same sequence as the records: 0.37, 0.22, 0.00, 0.00, 0.00, 0.49 μB per atom.